GGA-PBE LiTiGa, relaxed; electronic total energy = -4.562 eV per atom; M_tot = 0.0 μB/f.u.; space group = P4/nmm (129); V = 16.0 A^3/atom; density of states at the Fermi level = 2.70 states/eV/cell
1.0
2.847 0.000 0.197
0.000 2.854 0.004
-0.813 -0.015 11.731
Li Ti Ga
2 2 2
Direct
0.873 0.291 0.166
0.373 0.792 0.346
0.872 0.291 0.845
0.372 0.791 0.668
0.872 0.291 0.495
0.372 0.791 0.017